A plane-wave DFT calculation with PBE was carried out for a relaxed SiHgB3 crystal.

Output
Symmetry: Pm-3m, No. 221
ΔE to the lowest computed polymorph in eV per formula unit: 4.68

Cell lengths 4.365, 4.365, 4.365 Å; angles 90.00, 90.00, 90.00 degrees
Atoms (fractional coordinates):
Si (0.500, 0.500, 0.500)
B (0.000, 0.500, 0.000)
B (0.000, 0.000, 0.500)
B (0.500, 0.000, 0.000)
Hg (0.000, 0.000, 0.000)


A plane-wave DFT calculation with PBE was carried out for a relaxed SiHg3B crystal.

Output
Symmetry: Pm-3m, No. 221
ΔE to the lowest computed polymorph in eV per formula unit: 1.62

Cell lengths 5.124, 5.124, 5.124 Å; angles 90.00, 90.00, 90.00 degrees
Atoms (fractional coordinates):
Si (0.000, 0.000, 0.000)
B (0.500, 0.500, 0.500)
Hg (0.000, 0.500, 0.000)
Hg (0.000, 0.000, 0.500)
Hg (0.500, 0.000, 0.000)


A plane-wave DFT calculation with PBE was carried out for a relaxed SiHg2B2 crystal.

Output
Symmetry: I4/mmm, No. 139
ΔE to the lowest computed polymorph in eV per formula unit: 0.00

Cell lengths 2.750, 2.750, 11.071 Å; angles 82.87, 82.87, 90.00 degrees
Atoms (fractional coordinates):
Si (0.000, 0.000, 0.000)
B (0.750, 0.250, 0.500)
B (0.250, 0.750, 0.500)
Hg (0.372, 0.372, 0.255)
Hg (0.628, 0.628, 0.745)


A plane-wave DFT calculation with PBE was carried out for a relaxed SiHgB3 crystal.

Output
Symmetry: Pm-3m, No. 221
ΔE to the lowest computed polymorph in eV per formula unit: 0.00

Cell lengths 4.107, 4.107, 4.107 Å; angles 90.00, 90.00, 90.00 degrees
Atoms (fractional coordinates):
Si (0.000, 0.000, 0.000)
B (0.000, 0.500, 0.000)
B (0.000, 0.000, 0.500)
B (0.500, 0.000, 0.000)
Hg (0.500, 0.500, 0.500)


| no. | formation energy from raw total energies (eV/atom) |
| --- | --- |
| 1 | 2.48 |
| 2 | 1.24 |
| 3 | 1.02 |
| 4 | 1.54 |